## Y2AlGa (GGA-PBE)

Data for crystalline Y2AlGa at its relaxed geometry.

a b c (Å): 3.5879 3.5879 7.2235
angles (deg): 90.00 90.00 90.00
Last column: nearest neighbours and their distance in Å.
Atoms (fractional coordinates):
Y 0.0000 0.0000 0.2466  4 Ga 3.10, 4 Al 3.13
Y 0.0000 0.0000 0.7534  4 Ga 3.10, 4 Al 3.13
Al 0.5000 0.5000 0.5000  8 Y 3.13
Ga 0.5000 0.5000 0.0000  8 Y 3.10

Output
VASP energy: -5.433 eV/atom
formation energy: -0.5086 eV per atom